# 1
A relaxed CePm2CdC crystal. Source: Alexandria, functional GGA-PBE.

Output
DFT formation energy: -0.91 eV per formula unit
Crystal system: tetragonal

Structure (POSCAR):
```
CePm2CdC
1.0
4.880 0.000 0.000
0.000 5.142 0.000
0.000 0.000 5.142
Pm C Cd Ce
2 1 1 1
Cartesian
0.000 2.571 0.000
0.000 0.000 2.571
0.000 0.000 0.000
2.440 2.571 2.571
2.440 0.000 0.000
```


# 2
A relaxed CePmGeSe crystal. Source: Alexandria, functional GGA-PBE.

Output
Crystal system: trigonal
Energy: -6.048 eV/atom

Structure (POSCAR):
```
CePmGeSe
1.0
-0.652 -4.095 0.886
1.964 -2.998 -2.265
5.742 -2.247 3.985
Ge Ce Pm Se
1 1 1 1
Cartesian
4.393 -4.651 2.029
2.699 -2.314 1.435
6.146 -6.986 2.671
2.214 -7.074 -0.624
```


Looking at N(E_F) for the records above, in order, we have 1.59 1.43 states/eV/atom.